DFT (PBE+U) results for a geometry-optimized BaSrMnO4 structure.

Lattice parameters (Å, degrees): 7.070 7.070 7.070 147.34 147.34 46.85
Fractional positions:
Ba 0.000 0.000 0.000
Sr 0.716 0.716 0.000
Mn 0.352 0.352 0.000
O 0.202 0.202 0.000
O 0.349 0.849 0.500
O 0.507 0.507 0.000
O 0.849 0.349 0.500

calculated total energy	-6.629	eV/atom
volume	103	Å³ per cell